(1)
A geometry-optimized Tb2Cu2Ni15 structure, computed with GGA-PBE.

The space group is R-3m (No. 166, hexagonal axes) and the conventional cell measures 8.3165, 8.3165 and 12.0929 Å, with angles of 90.00, 90.00 and 120.00 degrees. The inequivalent atoms are Tb at (0.0000, 0.0000, 0.1579), Cu at (0.0000, 0.0000, 0.4012), Ni at (0.0000, 0.2963, 0.5000), Ni at (0.0000, 0.5000, 0.0000) and Ni at (0.9997, 0.4999, 0.3455).

The value obtained for the calculated formation energy is -0.198 eV per atom.



(2)
A geometry-optimized Mg2BeZnPb structure, computed with GGA-PBE.

The space group is P4/mmm (No. 123) and the conventional cell measures 5.613, 5.613 and 4.500 Å, with angles of 90.00, 90.00 and 90.00 degrees. The inequivalent atoms are Mg at (0.000, 0.500, 0.000), Be at (0.000, 0.000, 0.500), Zn at (0.500, 0.500, 0.500) and Pb at (0.000, 0.000, 0.000).

The value obtained for the calculated formation energy is 0.717 eV per atom.



(3)
A geometry-optimized ScInSe2 structure, computed with GGA-PBE.

The space group is Immm (No. 71) and the conventional cell measures 3.870, 6.661 and 8.464 Å, with angles of 90.00, 90.00 and 90.00 degrees. The inequivalent atoms are Sc at (0.000, 0.000, 0.000), In at (0.000, 0.000, 0.500) and Se at (0.000, 0.500, 0.290).

The raw formation energy comes out at -0.786 eV/atom.



(4)
A geometry-optimized TaInBr2 structure, computed with GGA-PBE.

The space group is Cmmm (No. 65) and the conventional cell measures 6.387, 8.992 and 3.239 Å, with angles of 90.00, 90.00 and 90.00 degrees. The inequivalent atoms are Ta at (0.000, 0.000, 0.000), In at (0.000, 0.500, 0.000) and Br at (0.250, 0.250, 0.500).

The raw formation energy comes out at 0.595 eV/atom. As for the distance to the lowest polymorph of the same formula: 0.8448 eV/atom.



(5)
A geometry-optimized PrZn2Co2Si structure, computed with GGA-PBE.

The space group is P4/mmm (No. 123) and the conventional cell measures 4.255, 4.255 and 5.749 Å, with angles of 90.00, 90.00 and 90.00 degrees. The inequivalent atoms are Pr at (0.000, 0.000, 0.000), Zn at (0.500, 0.500, 0.242), Co at (0.000, 0.500, 0.500) and Si at (0.000, 0.000, 0.500).

The raw formation energy comes out at -0.205 eV/atom.



(6)
A geometry-optimized La6HoAl structure, computed with GGA-PBE.

The space group is P-1 (No. 2) and the conventional cell measures 6.607, 6.636 and 8.939 Å, with angles of 68.22, 68.69 and 60.16 degrees. The inequivalent atoms are La at (0.035, 0.432, 0.234), La at (0.206, 0.966, 0.764), La at (0.429, 0.797, 0.236), Ho at (0.500, 0.500, 0.000) and Al at (0.000, 0.000, 0.500).

As for the distance to the lowest polymorph of the same formula: 0.4110 eV/atom. The value obtained for the calculated formation energy is 0.342 eV per atom.



(7)
A geometry-optimized CeAsO3 structure, computed with GGA-PBE.

The space group is P2_1/c (No. 14) and the conventional cell measures 9.327, 7.896 and 8.239 Å, with angles of 90.00, 104.05 and 90.00 degrees. The inequivalent atoms are Ce at (0.021, 0.187, 0.350), Ce at (0.402, 0.154, 0.788), As at (0.201, 0.526, 0.547), As at (0.312, 0.588, 0.940), O at (0.113, 0.606, 0.922), O at (0.135, 0.168, 0.122), O at (0.148, 0.029, 0.826), O at (0.313, 0.140, 0.468), O at (0.390, 0.024, 0.075) and O at (0.393, 0.636, 0.154).

The raw formation energy comes out at -2.326 eV/atom.



(8)
A geometry-optimized GdThZnSi structure, computed with GGA-PBE.

The space group is F-43m (No. 216) and the conventional cell measures 7.213, 7.213 and 7.213 Å, with angles of 90.00, 90.00 and 90.00 degrees. The inequivalent atoms are Gd at (0.000, 0.000, 0.000), Th at (0.000, 0.000, 0.500), Zn at (0.250, 0.250, 0.750) and Si at (0.250, 0.250, 0.250).

The raw formation energy comes out at -0.365 eV/atom.



(9)
A geometry-optimized HfNb2Pd structure, computed with GGA-PBE.

The space group is I-42d (No. 122) and the conventional cell measures 3.841, 3.841 and 21.054 Å, with angles of 90.00, 90.00 and 90.00 degrees. The inequivalent atoms are Hf at (0.000, 0.000, 0.000), Nb at (0.247, 0.250, 0.125) and Pd at (0.000, 0.000, 0.500).

As for the distance to the lowest polymorph of the same formula: 0.4279 eV/atom. The value obtained for the calculated formation energy is 0.169 eV per atom.



(10)
A geometry-optimized Be10Nb2Ni structure, computed with GGA-PBE.

The space group is P2_1/c (No. 14) and the conventional cell measures 4.738, 8.880 and 6.980 Å, with angles of 90.00, 117.09 and 90.00 degrees. The inequivalent atoms are Be at (0.021, 0.011, 0.340), Be at (0.095, 0.192, 0.843), Be at (0.164, 0.690, 0.024), Be at (0.324, 0.145, 0.251), Be at (0.401, 0.612, 0.424), Nb at (0.475, 0.114, 0.657) and Ni at (0.000, 0.000, 0.000).

The value obtained for the calculated formation energy is -0.076 eV per atom.



(11)
A geometry-optimized CaIn2Pt2 structure, computed with GGA-PBE.

The space group is P2_1/m (No. 11) and the conventional cell measures 5.064, 4.628 and 10.052 Å, with angles of 90.00, 101.68 and 90.00 degrees. The inequivalent atoms are Ca at (0.220, 0.250, 0.266), In at (0.202, 0.250, 0.615), In at (0.290, 0.750, 0.020), Pt at (0.165, 0.250, 0.875) and Pt at (0.337, 0.750, 0.490).

As for the distance to the lowest polymorph of the same formula: 0.0000 eV/atom. The value obtained for the calculated formation energy is -0.674 eV per atom.



Number 1: DOS(E_F) 1.255 states/eV per atom. Number 2: DOS(E_F) 0.302 states/eV per atom. Number 3: DOS(E_F) 0.200 states/eV per atom. Number 4: DOS(E_F) 0.853 states/eV per atom. Number 5: DOS(E_F) 0.437 states/eV per atom. Number 6: DOS(E_F) 1.526 states/eV per atom. Number 7: DOS(E_F) 1.362 states/eV per atom. Number 8: DOS(E_F) 0.822 states/eV per atom. Number 9: DOS(E_F) 0.561 states/eV per atom. Number 10: DOS(E_F) 0.284 states/eV per atom. Number 11: DOS(E_F) 0.411 states/eV per atom.